[1]
The following is a DFT calculation (PBE) of a relaxed structure of GeBr.

Output
- total energy (eV per cell) = -24.3
- magnetic moment (μB/f.u.) = 0.0
- uncorrected formation energy (eV/atom) = 0.103
- energy above the lowest structure with this stoichiometry (meV/atom) = 310
- symmetry = P4_2/mnm, No. 136

abc: 9.2068 9.2068 3.3639
angles: 90.00 90.00 90.00
With the nearest neighbours (Å) after each atom.
Fractional coordinates of all 8 atoms:
Ge: 0.1093 0.1093 0.0000  2 Br 2.73, 1 Ge 2.85
Ge: 0.3907 0.6093 0.5000  2 Br 2.73, 1 Ge 2.85
Ge: 0.6093 0.3907 0.5000  2 Br 2.73, 1 Ge 2.85
Ge: 0.8907 0.8907 0.0000  2 Br 2.73, 1 Ge 2.85
Br: 0.1793 0.8207 0.0000  2 Ge 2.73
Br: 0.3207 0.3207 0.5000  2 Ge 2.73
Br: 0.6793 0.6793 0.5000  2 Ge 2.73
Br: 0.8207 0.1793 0.0000  2 Ge 2.73

[2]
The following is a DFT calculation (PBE) of a relaxed structure of GeBr.

Output
- total energy (eV per cell) = -32.0
- magnetic moment (μB/f.u.) = 1.0
- uncorrected formation energy (eV/atom) = 0.482
- energy above the lowest structure with this stoichiometry (meV/atom) = 690
- symmetry = Pm-3n, No. 223

abc: 8.2747 8.2747 8.2747
angles: 90.00 90.00 90.00
With the nearest neighbours (Å) after each atom.
Fractional coordinates of all 12 atoms:
Ge: 0.0000 0.2500 0.5000  4 Br 2.93
Ge: 0.0000 0.7500 0.5000  4 Br 2.93
Ge: 0.2500 0.5000 0.0000  4 Br 2.93
Ge: 0.5000 0.0000 0.2500  4 Br 2.93
Ge: 0.5000 0.0000 0.7500  4 Br 2.93
Ge: 0.7500 0.5000 0.0000  4 Br 2.93
Br: 0.0000 0.5000 0.2500  4 Ge 2.93
Br: 0.0000 0.5000 0.7500  4 Ge 2.93
Br: 0.2500 0.0000 0.5000  4 Ge 2.93
Br: 0.5000 0.2500 0.0000  4 Ge 2.93
Br: 0.5000 0.7500 0.0000  4 Ge 2.93
Br: 0.7500 0.0000 0.5000  4 Ge 2.93

[3]
The following is a DFT calculation (PBE) of a relaxed structure of GeBr.

Output
- total energy (eV per cell) = -25.8
- magnetic moment (μB/f.u.) = 0.0
- uncorrected formation energy (eV/atom) = -0.085
- energy above the lowest structure with this stoichiometry (meV/atom) = 122
- symmetry = I4/m, No. 87

abc: 8.2626 8.2626 8.2626
angles: 95.95 95.95 142.45
With the nearest neighbours (Å) after each atom.
Fractional coordinates of all 8 atoms:
Ge: 0.0828 0.4079 0.4907  1 Br 2.51, 1 Ge 2.74
Ge: 0.4079 0.9172 0.3251  1 Br 2.51, 1 Ge 2.74
Ge: 0.5921 0.0828 0.6749  1 Br 2.51, 1 Ge 2.74
Ge: 0.9172 0.5921 0.5093  1 Br 2.51, 1 Ge 2.74
Br: 0.0864 0.7427 0.8291  1 Ge 2.51
Br: 0.2573 0.0864 0.3437  1 Ge 2.51
Br: 0.7427 0.9136 0.6563  1 Ge 2.51
Br: 0.9136 0.2573 0.1709  1 Ge 2.51

[4]
The following is a DFT calculation (PBE) of a relaxed structure of GeBr4.

Output
- total energy (eV per cell) = -57.3
- magnetic moment (μB/f.u.) = 0.0
- uncorrected formation energy (eV/atom) = -0.602
- energy above the lowest structure with this stoichiometry (meV/atom) = 0
- symmetry = P2_1/c, No. 14

abc: 11.2004 7.2485 11.4042
angles: 90.00 105.44 90.00
With the nearest neighbours (Å) after each atom.
Fractional coordinates of all 20 atoms:
Ge: 0.2505 0.0669 0.1560  4 Br 2.30-2.31
Ge: 0.2505 0.4331 0.6560  4 Br 2.30-2.31
Ge: 0.7495 0.5669 0.3440  4 Br 2.30-2.31
Ge: 0.7495 0.9331 0.8440  4 Br 2.30-2.31
Br: 0.0901 0.5787 0.7108  1 Ge 2.31
Br: 0.0901 0.9213 0.2108  1 Ge 2.31
Br: 0.1952 0.1316 0.6030  1 Ge 2.31
Br: 0.1952 0.3684 0.1030  1 Ge 2.31
Br: 0.2901 0.5850 0.4925  1 Ge 2.31
Br: 0.2901 0.9150 0.9925  1 Ge 2.31
Br: 0.4254 0.0618 0.3175  1 Ge 2.30
Br: 0.4254 0.4382 0.8175  1 Ge 2.30
Br: 0.5746 0.5618 0.1825  1 Ge 2.30
Br: 0.5746 0.9382 0.6825  1 Ge 2.30
Br: 0.7099 0.0850 0.0075  1 Ge 2.31
Br: 0.7099 0.4150 0.5075  1 Ge 2.31
Br: 0.8048 0.6316 0.8970  1 Ge 2.31
Br: 0.8048 0.8684 0.3970  1 Ge 2.31
Br: 0.9099 0.0787 0.7892  1 Ge 2.31
Br: 0.9099 0.4213 0.2892  1 Ge 2.31

[5]
The following is a DFT calculation (PBE) of a relaxed structure of GeBr.

Output
- total energy (eV per cell) = -6.2
- magnetic moment (μB/f.u.) = 0.0
- uncorrected formation energy (eV/atom) = 0.042
- energy above the lowest structure with this stoichiometry (meV/atom) = 249
- symmetry = P1, No. 1

abc: 3.3130 3.7819 4.3851
angles: 90.06 90.18 90.07
With the nearest neighbours (Å) after each atom.
Fractional coordinates of all 2 atoms:
Ge: 0.0000 0.0000 0.0000  2 Br 2.71-2.72
Br: 0.0034 0.5028 0.4449  2 Ge 2.71-2.72

[6]
The following is a DFT calculation (PBE) of a relaxed structure of GeBr.

Output
- total energy (eV per cell) = -6.2
- magnetic moment (μB/f.u.) = 0.0
- uncorrected formation energy (eV/atom) = 0.054
- energy above the lowest structure with this stoichiometry (meV/atom) = 262
- symmetry = P1, No. 1

abc: 3.3429 3.9941 4.3405
angles: 90.01 90.23 114.20
With the nearest neighbours (Å) after each atom.
Fractional coordinates of all 2 atoms:
Ge: 0.0000 0.0000 0.0000  2 Br 2.69
Br: 0.7886 0.5636 0.5005  2 Ge 2.69

[7]
The following is a DFT calculation (PBE) of a relaxed structure of GeBr4.

Output
- total energy (eV per cell) = -11.4
- magnetic moment (μB/f.u.) = 1.4
- uncorrected formation energy (eV/atom) = -0.010
- energy above the lowest structure with this stoichiometry (meV/atom) = 593
- symmetry = Pm-3m, No. 221

abc: 5.3281 5.3281 5.3281
angles: 90.00 90.00 90.00
With the nearest neighbours (Å) after each atom.
Fractional coordinates of all 5 atoms:
Ge: 0.0000 0.0000 0.0000  6 Br 2.66
Br: 0.0000 0.0000 0.5000  2 Ge 2.66
Br: 0.0000 0.5000 0.0000  2 Ge 2.66
Br: 0.5000 0.0000 0.0000  2 Ge 2.66
Br: 0.5000 0.5000 0.5000  12 Br 3.77

[8]
The following is a DFT calculation (PBE) of a relaxed structure of GeBr4.

Output
- total energy (eV per cell) = -14.3
- magnetic moment (μB/f.u.) = 0.0
- uncorrected formation energy (eV/atom) = -0.601
- energy above the lowest structure with this stoichiometry (meV/atom) = 1
- symmetry = I-42m, No. 121

abc: 7.0861 7.0861 7.0861
angles: 125.74 125.74 80.32
With the nearest neighbours (Å) after each atom.
Fractional coordinates of all 5 atoms:
Ge: 0.0000 0.0000 0.0000  4 Br 2.31
Br: 0.0821 0.0821 0.4113  1 Ge 2.31
Br: 0.3291 0.9179 0.0000  1 Ge 2.31
Br: 0.6709 0.6709 0.5887  1 Ge 2.31
Br: 0.9179 0.3291 0.0000  1 Ge 2.31

[9]
The following is a DFT calculation (PBE) of a relaxed structure of GeBr.

Output
- total energy (eV per cell) = -26.5
- magnetic moment (μB/f.u.) = 0.0
- uncorrected formation energy (eV/atom) = -0.165
- energy above the lowest structure with this stoichiometry (meV/atom) = 42
- symmetry = I4/m, No. 87

abc: 8.7090 8.7090 8.7090
angles: 93.50 93.50 151.39
With the nearest neighbours (Å) after each atom.
Fractional coordinates of all 8 atoms:
Ge: 0.1981 0.7241 0.9222  1 Br 2.42, 2 Ge 2.56
Ge: 0.2759 0.1981 0.4740  1 Br 2.42, 2 Ge 2.56
Ge: 0.7241 0.8019 0.5260  1 Br 2.42, 2 Ge 2.56
Ge: 0.8019 0.2759 0.0778  1 Br 2.42, 2 Ge 2.56
Br: 0.2216 0.5226 0.7443  1 Ge 2.42
Br: 0.4774 0.2216 0.6990  1 Ge 2.42
Br: 0.5226 0.7784 0.3010  1 Ge 2.42
Br: 0.7784 0.4774 0.2557  1 Ge 2.42

[10]
The following is a DFT calculation (PBE) of a relaxed structure of GeBr.

Output
- total energy (eV per cell) = -5.4
- magnetic moment (μB/f.u.) = 0.0
- uncorrected formation energy (eV/atom) = 0.429
- energy above the lowest structure with this stoichiometry (meV/atom) = 636
- symmetry = F-43m, No. 216

abc: 4.6982 4.6982 4.6982
angles: 60.00 60.00 60.00
With the nearest neighbours (Å) after each atom.
Fractional coordinates of all 2 atoms:
Ge: 0.0000 0.0000 0.0000  4 Br 2.88
Br: 0.7500 0.7500 0.7500  4 Ge 2.88

[11]
The following is a DFT calculation (PBE) of a relaxed structure of GeBr.

Output
- total energy (eV per cell) = -11.0
- magnetic moment (μB/f.u.) = 0.0
- uncorrected formation energy (eV/atom) = 0.385
- energy above the lowest structure with this stoichiometry (meV/atom) = 593
- symmetry = P6_3/mmc, No. 194

abc: 5.0855 5.0855 6.0390
angles: 90.00 90.00 120.00
With the nearest neighbours (Å) after each atom.
Fractional coordinates of all 4 atoms:
Ge: 0.3333 0.6667 0.2500  5 Br 2.94-3.02
Ge: 0.6667 0.3333 0.7500  5 Br 2.94-3.02
Br: 0.3333 0.6667 0.7500  5 Ge 2.94-3.02
Br: 0.6667 0.3333 0.2500  5 Ge 2.94-3.02

[12]
The following is a DFT calculation (PBE) of a relaxed structure of GeBr.

Output
- total energy (eV per cell) = -13.4
- magnetic moment (μB/f.u.) = 0.0
- uncorrected formation energy (eV/atom) = -0.206
- energy above the lowest structure with this stoichiometry (meV/atom) = 1
- symmetry = P1, No. 1

abc: 4.3182 5.6140 6.4956
angles: 101.42 90.63 112.11
With the nearest neighbours (Å) after each atom.
Fractional coordinates of all 4 atoms:
Ge: 0.0000 0.0000 0.0000  1 Br 2.46, 2 Ge 2.56-2.57
Ge: 0.3677 0.7318 0.9157  1 Br 2.45, 2 Ge 2.56-2.57
Br: 0.0796 0.1726 0.6762  1 Ge 2.46
Br: 0.2938 0.5680 0.2423  1 Ge 2.45

- Look up the total energy of the fifth one.
  -6.2 eV per cell